Entry 1:
# Pr2Al5Au

An optimized crystal structure of Pr2Al5Au (PBE, the Alexandria database).

Cell: 6.335 6.335 6.335 Å, 88.40 120.93 120.93°
Atoms (fractional coordinates):
Al 0.000 0.289 0.733
Au 0.000 0.905 0.905
Al 0.000 0.247 0.247
Al 0.000 0.733 0.289
Al 0.444 0.733 0.733
Al 0.556 0.289 0.289
Pr 0.500 0.263 0.763
Pr 0.500 0.763 0.263

Results
Space group ... I4mm

---

Entry 2:
# CePm7Nd4

An optimized crystal structure of CePm7Nd4 (PBE, the Alexandria database).

Cell: 7.366 6.376 11.705 Å, 79.51 50.96 89.98°
Each line ends with the local moment (μB).
Atoms (fractional coordinates):
Nd 0.166 0.223 0.334  -0.01
Nd 0.424 0.724 0.330  0.01
Pm 0.083 0.275 0.671  0.01
Pm 0.328 0.780 0.672  0.00
Pm 0.500 0.000 0.000  0.02
Pm 0.917 0.725 0.329  0.01
Pm 0.246 0.500 0.000  0.01
Pm 0.672 0.220 0.328  0.00
Ce 0.000 0.000 0.000  0.79
Pm 0.754 0.500 0.000  0.01
Nd 0.834 0.777 0.666  -0.01
Nd 0.576 0.276 0.670  0.01

Results
Space group ... P-1

---

Entry 3:
# TbTmTlPt

An optimized crystal structure of TbTmTlPt (PBE, the Alexandria database).

Cell: 5.129 5.129 5.129 Å, 60.00 60.00 60.00°
Atoms (fractional coordinates):
Tl 0.750 0.750 0.750
Pt 0.250 0.250 0.250
Tb 0.000 0.000 0.000
Tm 0.500 0.500 0.500

Results
Space group ... F-43m

---

The records above give, respectively, formation enthalpy at 0 K values of -401; 30; -700 meV/atom.
The records above give, respectively, energy values of -4.35; -4.83; -5.08 eV/atom.